Material: RbTl2Ru
Method: DFT, PBE
State: optimized geometry

Cell: 6.768 6.768 9.200 Å, 68.42 68.42 90.00°
Atoms (fractional coordinates):
Ru 0.000 0.000 0.000
Ru 0.750 0.250 0.500
Tl 0.876 0.125 0.250
Tl 0.874 0.625 0.250
Tl 0.375 0.124 0.750
Tl 0.875 0.126 0.750
Rb 0.500 0.500 0.000
Rb 0.250 0.750 0.500

Summary:
Calculated total energy (eV/atom): -3.261
Magnetic moment (μB per formula unit): 0.00
Volume (Å³ per cell): 359.9